Record 1
First-principles (PBE) data for crystalline NaCd8In4 at its relaxed geometry, as listed in the Alexandria database.

a b c (Å): 4.9870 13.4165 5.6951
angles (deg): 90.25 64.03 79.29
Closest atoms and distances in Å follow each position.
Positions (direct):
Na (0.4991, 0.9104, 0.0913)  6 Cd 3.03-3.39, 4 In 3.20-3.33
Cd (0.1305, 0.3651, 0.3739)  6 Cd 3.20-3.43, 6 In 3.29-3.51
Cd (0.5750, 0.2494, 0.6006)  3 In 2.96-3.08, 6 Cd 3.01-3.21
Cd (0.4356, 0.7103, 0.4186)  3 In 2.92-3.20, 6 Cd 2.97-3.25, 1 Na 3.26
Cd (0.8972, 0.5998, 0.6057)  6 Cd 3.09-3.41, 3 In 3.24-3.30
Cd (0.8678, 0.2790, 0.9854)  2 In 2.99-3.03, 6 Cd 2.99-3.32
Cd (0.1697, 0.9073, 0.7534)  3 Cd 2.94-3.21, 3 In 2.96-3.02, 2 Na 3.03
Cd (0.1477, 0.6945, 0.0101)  2 In 3.01-3.07, 4 Cd 3.06-3.25
Cd (0.8727, 0.0726, 0.1819)  3 Cd 2.94-3.01, 3 In 3.10-3.21, 2 Na 3.29
In (0.3678, 0.4685, 0.7959)  4 Cd 2.96-3.24, 3 In 3.16-3.25
In (0.8432, 0.8626, 0.4510)  6 Cd 2.96-3.21, 3 Na 3.20-3.28
In (0.1762, 0.1121, 0.5354)  6 Cd 3.02-3.10, 1 Na 3.33
In (0.6626, 0.5006, 0.1743)  2 Cd 2.92-2.99, 3 In 3.16-3.25

Values from the calculation:
Density of states at the Fermi level: 3.22 states/eV/f.u.
Raw total energy: -1.477 eV per atom
SG: Cm (8)
DFT formation energy: 0.030 eV per atom
Energy above the lowest structure with this stoichiometry: 0.000 eV/atom
Size of the total moment: 0.0000 μB/atom



Record 2
First-principles (PBE) data for crystalline NaCd2In at its relaxed geometry, as listed in the Alexandria database.

a b c (Å): 3.3457 3.3457 10.6658
angles (deg): 80.98 80.98 60.00
Closest atoms and distances in Å follow each position.
Positions (direct):
Na (0.6666, 0.6666, 0.0003)  6 Cd 3.26-3.27, 6 Na 3.35
Cd (0.0837, 0.0837, 0.7490)  3 In 3.25, 3 Na 3.27, 6 Cd 3.35
Cd (0.2497, 0.2497, 0.2508)  3 In 3.25, 3 Na 3.26, 6 Cd 3.35
In (0.5000, 0.5000, 0.4999)  6 Cd 3.25, 6 In 3.35

Values from the calculation:
Density of states at the Fermi level: 1.55 states/eV/f.u.
Raw total energy: -1.476 eV per atom
SG: R3m (160)
DFT formation energy: -0.004 eV per atom
Size of the total moment: 0.0000 μB/atom



Record 3
First-principles (PBE) data for crystalline NaCd12In6 at its relaxed geometry, as listed in the Alexandria database.

a b c (Å): 8.1329 8.1329 8.1329
angles (deg): 104.56 104.56 104.56
Closest atoms and distances in Å follow each position.
Positions (direct):
Na (0.0000, 0.0000, 0.0000)  6 Cd 3.17, 6 In 3.19
Cd (0.8111, 0.4516, 0.3773)  6 Cd 2.99-3.27, 3 In 3.07-3.33
Cd (0.3773, 0.8111, 0.4516)  6 Cd 2.99-3.27, 3 In 3.07-3.33
Cd (0.4516, 0.3773, 0.8111)  6 Cd 2.99-3.27, 3 In 3.07-3.33
Cd (0.1889, 0.5484, 0.6227)  6 Cd 2.99-3.27, 3 In 3.07-3.33
Cd (0.6227, 0.1889, 0.5484)  6 Cd 2.99-3.27, 3 In 3.07-3.33
Cd (0.5484, 0.6227, 0.1889)  6 Cd 2.99-3.27, 3 In 3.07-3.33
Cd (0.9571, 0.7320, 0.2217)  5 Cd 3.01-3.27, 1 Na 3.17, 3 In 3.17-3.21
Cd (0.2680, 0.7783, 0.0429)  5 Cd 3.01-3.27, 1 Na 3.17, 3 In 3.17-3.21
Cd (0.7783, 0.0429, 0.2680)  5 Cd 3.01-3.27, 1 Na 3.17, 3 In 3.17-3.21
Cd (0.0429, 0.2680, 0.7783)  5 Cd 3.01-3.27, 1 Na 3.17, 3 In 3.17-3.21
Cd (0.7320, 0.2217, 0.9571)  5 Cd 3.01-3.27, 1 Na 3.17, 3 In 3.17-3.21
Cd (0.2217, 0.9571, 0.7320)  5 Cd 3.01-3.27, 1 Na 3.17, 3 In 3.17-3.21
In (0.7927, 0.8601, 0.5753)  7 Cd 3.07-3.37, 1 Na 3.19, 2 In 3.32
In (0.4247, 0.2073, 0.1399)  7 Cd 3.07-3.37, 1 Na 3.19, 2 In 3.32
In (0.1399, 0.4247, 0.2073)  7 Cd 3.07-3.37, 1 Na 3.19, 2 In 3.32
In (0.2073, 0.1399, 0.4247)  7 Cd 3.07-3.37, 1 Na 3.19, 2 In 3.32
In (0.5753, 0.7927, 0.8601)  7 Cd 3.07-3.37, 1 Na 3.19, 2 In 3.32
In (0.8601, 0.5753, 0.7927)  7 Cd 3.07-3.37, 1 Na 3.19, 2 In 3.32

Values from the calculation:
Density of states at the Fermi level: 6.95 states/eV/f.u.
Raw total energy: -1.484 eV per atom
SG: R-3 (148)
DFT formation energy: 0.028 eV per atom
Size of the total moment: 0.0000 μB/atom



Record 4
First-principles (PBE) data for crystalline Na2Cd3In9 at its relaxed geometry, as listed in the Alexandria database.

a b c (Å): 8.7552 8.7552 12.3904
angles (deg): 87.97 113.28 119.40
Closest atoms and distances in Å follow each position.
Positions (direct):
Na (0.2903, 0.2485, 0.7588)  7 In 3.29-3.46, 2 Cd 3.30-3.34
Na (0.7097, 0.7515, 0.2412)  7 In 3.29-3.46, 2 Cd 3.30-3.34
Na (0.9897, 0.5315, 0.7412)  7 In 3.29-3.46, 2 Cd 3.30-3.34
Na (0.0103, 0.4685, 0.2588)  7 In 3.29-3.46, 2 Cd 3.30-3.34
Cd (0.5000, 0.0000, 0.0000)  8 In 3.00-3.13
Cd (0.5000, 0.5000, 0.5000)  8 In 3.00-3.13
Cd (0.8800, 0.1938, 0.5505)  8 In 3.07-3.20, 2 Na 3.30-3.34
Cd (0.1200, 0.8062, 0.4495)  8 In 3.07-3.20, 2 Na 3.30-3.34
Cd (0.1433, 0.3295, 0.9495)  8 In 3.07-3.20, 2 Na 3.30-3.34
Cd (0.8567, 0.6705, 0.0505)  8 In 3.07-3.20, 2 Na 3.30-3.34
In (0.3528, 0.9130, 0.7331)  2 Cd 3.00-3.18, 5 In 3.16-3.30, 2 Na 3.29-3.33
In (0.6472, 0.0870, 0.2669)  2 Cd 3.00-3.18, 5 In 3.16-3.30, 2 Na 3.29-3.33
In (0.6798, 0.6196, 0.7669)  2 Cd 3.00-3.18, 5 In 3.16-3.30, 2 Na 3.29-3.33
In (0.3202, 0.3804, 0.2331)  2 Cd 3.00-3.18, 5 In 3.16-3.30, 2 Na 3.29-3.33
In (0.4626, 0.6563, 0.9088)  3 Cd 3.07-3.13, 2 In 3.18-3.29, 2 Na 3.38-3.40
In (0.5374, 0.3437, 0.0912)  3 Cd 3.07-3.13, 2 In 3.18-3.29, 2 Na 3.38-3.40
In (0.2475, 0.5538, 0.5912)  3 Cd 3.07-3.13, 2 In 3.18-3.29, 2 Na 3.38-3.40
In (0.7525, 0.4462, 0.4088)  3 Cd 3.07-3.13, 2 In 3.18-3.29, 2 Na 3.38-3.40
In (0.7663, 0.0163, 0.7500)  2 Cd 3.11, 6 In 3.19-3.36
In (0.2337, 0.9837, 0.2500)  2 Cd 3.11, 6 In 3.19-3.36
In (0.1019, 0.9466, 0.9235)  3 Cd 3.01-3.20, 2 In 3.16-3.21
In (0.8981, 0.0534, 0.0765)  3 Cd 3.01-3.20, 2 In 3.16-3.21
In (0.5231, 0.1784, 0.5765)  3 Cd 3.01-3.20, 2 In 3.16-3.21
In (0.4769, 0.8216, 0.4235)  3 Cd 3.01-3.20, 2 In 3.16-3.21
In (0.9113, 0.8496, 0.5963)  3 Cd 3.13-3.19, 4 In 3.30-3.43, 2 Na 3.33-3.46
In (0.0887, 0.1504, 0.4037)  3 Cd 3.13-3.19, 4 In 3.30-3.43, 2 Na 3.33-3.46
In (0.7534, 0.3150, 0.9037)  3 Cd 3.13-3.19, 4 In 3.30-3.43, 2 Na 3.33-3.46
In (0.2466, 0.6850, 0.0963)  3 Cd 3.13-3.19, 4 In 3.30-3.43, 2 Na 3.33-3.46

Values from the calculation:
Density of states at the Fermi level: 5.09 states/eV/f.u.
Raw total energy: -2.176 eV per atom
SG: C2/c (15)
DFT formation energy: -0.031 eV per atom
Size of the total moment: 0.0000 μB/atom



Record 5
First-principles (PBE) data for crystalline NaCd2In5 at its relaxed geometry, as listed in the Alexandria database.

a b c (Å): 4.4841 7.4854 7.4854
angles (deg): 73.11 72.57 72.57
Closest atoms and distances in Å follow each position.
Positions (direct):
Na (0.0000, 0.0000, 0.0000)  4 Cd 3.36
Cd (0.7245, 0.7755, 0.7755)  7 In 2.91-3.19
Cd (0.2755, 0.2245, 0.2245)  7 In 2.91-3.19
In (0.0000, 0.5000, 0.5000)  2 Cd 3.07, 8 In 3.23
In (0.6417, 0.5490, 0.1675)  3 Cd 2.91-3.19, 3 In 3.16-3.23
In (0.3583, 0.4510, 0.8325)  3 Cd 2.91-3.19, 3 In 3.16-3.23
In (0.3583, 0.8325, 0.4510)  3 Cd 2.91-3.19, 3 In 3.16-3.23
In (0.6417, 0.1675, 0.5490)  3 Cd 2.91-3.19, 3 In 3.16-3.23

Values from the calculation:
Density of states at the Fermi level: 3.44 states/eV/f.u.
Raw total energy: -2.106 eV per atom
SG: Immm (71)
DFT formation energy: -0.001 eV per atom
Energy above the lowest structure with this stoichiometry: 0.000 eV/atom
Size of the total moment: 0.0000 μB/atom



Record 6
First-principles (PBE) data for crystalline Na4Cd3In at its relaxed geometry, as listed in the Alexandria database.

a b c (Å): 5.2745 5.2286 8.4279
angles (deg): 108.06 108.23 90.00
Closest atoms and distances in Å follow each position.
Positions (direct):
Na (0.7503, 0.2503, 0.5005)  4 Na 3.27-3.29, 4 Cd 3.30-3.33
Na (0.2497, 0.7497, 0.4995)  4 Na 3.27-3.29, 4 Cd 3.30-3.33
Na (0.3798, 0.3798, 0.7595)  2 In 3.18-3.19, 2 Cd 3.20, 4 Na 3.27-3.29
Na (0.6202, 0.6202, 0.2405)  2 In 3.18-3.19, 2 Cd 3.20, 4 Na 3.27-3.29
In (0.5000, 0.0000, 0.0000)  4 Cd 3.17, 4 Na 3.18-3.19
Cd (0.0000, 0.5000, 0.0000)  4 Cd 3.15, 4 Na 3.20
Cd (0.8836, 0.8834, 0.7673)  3 Cd 3.15-3.52, 2 In 3.17, 4 Na 3.30-3.33
Cd (0.1164, 0.1166, 0.2327)  3 Cd 3.15-3.52, 2 In 3.17, 4 Na 3.30-3.33

Values from the calculation:
Density of states at the Fermi level: 3.02 states/eV/f.u.
Raw total energy: -1.410 eV per atom
SG: Immm (71)
DFT formation energy: -0.065 eV per atom
Size of the total moment: 0.0000 μB/atom



Record 7
First-principles (PBE) data for crystalline Na2Cd3In5 at its relaxed geometry, as listed in the Alexandria database.

a b c (Å): 6.4071 9.8381 9.8381
angles (deg): 87.30 71.00 71.00
Closest atoms and distances in Å follow each position.
Positions (direct):
Na (0.1277, 0.6168, 0.1279)  4 In 3.45-3.52, 4 Cd 3.46-3.49
Na (0.6277, 0.1279, 0.6168)  4 In 3.45-3.52, 4 Cd 3.46-3.49
Na (0.8723, 0.3832, 0.8721)  4 In 3.45-3.52, 4 Cd 3.46-3.49
Na (0.3723, 0.8721, 0.3832)  4 In 3.45-3.52, 4 Cd 3.46-3.49
Cd (0.3737, 0.4801, 0.7725)  5 In 2.80-3.02
Cd (0.8737, 0.7725, 0.4801)  5 In 2.80-3.02
Cd (0.6263, 0.5199, 0.2275)  5 In 2.80-3.02
Cd (0.1263, 0.2275, 0.5199)  5 In 2.80-3.02
Cd (0.2500, 0.0000, 0.0000)  6 In 2.98-3.14, 2 Cd 3.20
Cd (0.7500, 0.0000, 0.0000)  6 In 2.98-3.14, 2 Cd 3.20
In (0.3814, 0.2667, 0.9705)  3 Cd 2.80-2.98, 2 In 3.05
In (0.8814, 0.9705, 0.2667)  3 Cd 2.80-2.98, 2 In 3.05
In (0.6186, 0.7333, 0.0295)  3 Cd 2.80-2.98, 2 In 3.05
In (0.1186, 0.0295, 0.7333)  3 Cd 2.80-2.98, 2 In 3.05
In (0.4970, 0.7530, 0.7530)  3 Cd 3.02-3.14, 5 In 3.05-3.22
In (0.5030, 0.2470, 0.2470)  3 Cd 3.02-3.14, 5 In 3.05-3.22
In (0.7500, 0.5000, 0.5000)  4 Cd 3.01, 4 In 3.20-3.22
In (0.2500, 0.5000, 0.5000)  4 Cd 3.01, 4 In 3.20-3.22
In (0.0030, 0.2470, 0.2470)  3 Cd 3.02-3.14, 5 In 3.05-3.22
In (0.9970, 0.7530, 0.7530)  3 Cd 3.02-3.14, 5 In 3.05-3.22

Values from the calculation:
Density of states at the Fermi level: 4.14 states/eV/f.u.
Raw total energy: -1.948 eV per atom
SG: Ibam (72)
DFT formation energy: -0.040 eV per atom
Energy above the lowest structure with this stoichiometry: 0.012 eV/atom
Size of the total moment: 0.0000 μB/atom



Record 8
First-principles (PBE) data for crystalline Na4Cd6In at its relaxed geometry, as listed in the Alexandria database.

a b c (Å): 6.4170 8.7868 6.4170
angles (deg): 68.58 90.00 111.42
Closest atoms and distances in Å follow each position.
Positions (direct):
Na (0.6192, 0.6419, 0.3808)  5 Cd 3.24-3.55, 1 In 3.26
Na (0.9773, 0.3581, 0.6192)  5 Cd 3.24-3.55, 1 In 3.26
Na (0.0227, 0.6419, 0.9773)  5 Cd 3.24-3.55, 1 In 3.26
Na (0.3808, 0.3581, 0.0227)  5 Cd 3.24-3.55, 1 In 3.26
Cd (0.4420, 0.2141, 0.5580)  3 Cd 2.89-2.99
Cd (0.7721, 0.2141, 0.2279)  3 Cd 2.89-2.99
Cd (0.5580, 0.7859, 0.7721)  3 Cd 2.89-2.99
Cd (0.0000, 0.0000, 0.5000)  4 Cd 2.89, 2 In 3.21
Cd (0.2279, 0.7859, 0.4420)  3 Cd 2.89-2.99
Cd (0.5000, 0.0000, 0.0000)  4 Cd 2.89, 2 In 3.21
In (0.0000, 0.0000, 0.0000)  8 Cd 3.21-3.44, 4 Na 3.26

Values from the calculation:
Density of states at the Fermi level: 4.59 states/eV/f.u.
Raw total energy: -1.263 eV per atom
SG: I-42m (121)
DFT formation energy: -0.035 eV per atom
Size of the total moment: 0.0000 μB/atom



Record 9
First-principles (PBE) data for crystalline Na2Cd3In5 at its relaxed geometry, as listed in the Alexandria database.

a b c (Å): 6.6626 8.9629 8.9626
angles (deg): 100.29 94.96 94.96
Closest atoms and distances in Å follow each position.
Positions (direct):
Na (0.8676, 0.6209, 0.1234)  5 Cd 3.32-3.64, 7 In 3.34-3.66, 2 Na 3.51
Na (0.3676, 0.1234, 0.6209)  5 Cd 3.32-3.64, 7 In 3.34-3.66, 2 Na 3.51
Na (0.1324, 0.3791, 0.8766)  5 Cd 3.32-3.64, 7 In 3.34-3.66, 2 Na 3.51
Na (0.6324, 0.8766, 0.3791)  5 Cd 3.32-3.64, 7 In 3.34-3.66, 2 Na 3.51
Cd (0.6297, 0.4783, 0.7671)  5 In 2.88-3.13
Cd (0.1297, 0.7672, 0.4784)  5 In 2.88-3.13
Cd (0.3703, 0.5217, 0.2329)  5 In 2.88-3.13
Cd (0.8703, 0.2328, 0.5216)  5 In 2.88-3.13
Cd (0.2500, 0.0464, 0.9536)  6 In 3.01-3.31, 2 Na 3.32
Cd (0.7500, 0.9536, 0.0464)  6 In 3.01-3.31, 2 Na 3.32
In (0.6250, 0.2647, 0.9719)  3 Cd 2.88-3.14, 2 In 3.09-3.13
In (0.1250, 0.9720, 0.2648)  3 Cd 2.88-3.14, 2 In 3.09-3.12
In (0.3750, 0.7353, 0.0281)  3 Cd 2.88-3.14, 2 In 3.09-3.13
In (0.8750, 0.0280, 0.7352)  3 Cd 2.88-3.14, 2 In 3.09-3.12
In (0.9999, 0.7136, 0.7933)  3 Cd 3.07-3.31, 3 In 3.09-3.35, 2 Na 3.38-3.39
In (0.0001, 0.2864, 0.2067)  3 Cd 3.07-3.31, 3 In 3.09-3.35, 2 Na 3.38-3.39
In (0.7500, 0.5420, 0.4580)  4 Cd 3.07-3.08, 2 Na 3.34, 2 In 3.35
In (0.2500, 0.4580, 0.5420)  4 Cd 3.07-3.08, 2 Na 3.34, 2 In 3.35
In (0.5002, 0.2066, 0.2865)  3 Cd 3.07-3.31, 3 In 3.09-3.35, 2 Na 3.38-3.39
In (0.4998, 0.7934, 0.7135)  3 Cd 3.07-3.31, 3 In 3.09-3.35, 2 Na 3.38-3.39

Values from the calculation:
Density of states at the Fermi level: 5.05 states/eV/f.u.
Raw total energy: -1.960 eV per atom
SG: C2/c (15)
DFT formation energy: -0.053 eV per atom
Energy above the lowest structure with this stoichiometry: 0.000 eV/atom
Size of the total moment: 0.0000 μB/atom